# PmHoAlCo

A relaxed structure of PmHoAlCo (PBE-GGA, Alexandria via LeMat-Bulk).

Cell: 7.097 7.097 7.097 Å, 90.00 90.00 90.00°
Space group F-43m (No. 216)
Asymmetric unit:
Pm (0.000, 0.000, 0.000) [4 per cell]
Ho (0.000, 0.000, 0.500) [4 per cell]
Al (0.250, 0.250, 0.250) [4 per cell]
Co (0.250, 0.250, 0.750) [4 per cell]

Its formation energy from the elements is -0.153 eV per atom. The density is 7.36 Mg/m³. For the density of states at the Fermi level, the calculation gives 0.697 states/eV per atom.

# ErZr4Ge4

A relaxed structure of ErZr4Ge4 (PBE-GGA, Alexandria via LeMat-Bulk).

Cell: 8.842 8.842 5.402 Å, 90.00 90.00 90.00°
Space group P4_2/n (No. 86, origin choice 2)
Asymmetric unit:
Er (0.250, 0.250, 0.250) [2 per cell]
Zr (0.103, 0.640, 0.140) [8 per cell]
Ge (0.043, 0.609, 0.650) [8 per cell]

Its formation energy from the elements is -0.524 eV per atom. The density is 6.47 Mg/m³. For the density of states at the Fermi level, the calculation gives 0.569 states/eV per atom.

# TlInNi2

A relaxed structure of TlInNi2 (PBE-GGA, Alexandria via LeMat-Bulk).

Cell: 3.820 3.820 9.176 Å, 90.00 90.00 90.00°
Space group I-4m2 (No. 119)
Asymmetric unit:
Tl (0.000, 0.000, 0.000) [2 per cell]
In (0.000, 0.500, 0.750) [2 per cell]
Ni (0.000, 0.000, 0.500) [2 per cell]
Ni (0.000, 0.500, 0.250) [2 per cell]

Its formation energy from the elements is 0.207 eV per atom. The density is 10.83 Mg/m³. For the density of states at the Fermi level, the calculation gives 0.278 states/eV per atom. For the energy relative to the lowest polymorph listed for this composition, the calculation gives 87.9 meV/atom.

# Tm6Bi3TeAs2

A relaxed structure of Tm6Bi3TeAs2 (PBE-GGA, Alexandria via LeMat-Bulk).

Cell: 18.692 4.271 8.609 Å, 90.00 103.47 90.00°
Space group C2/m (No. 12)
Asymmetric unit:
Tm (0.010, 0.000, 0.258) [4 per cell]
Tm (0.172, 0.500, 0.104) [4 per cell]
Tm (0.173, 0.500, 0.570) [4 per cell]
Bi (0.000, 0.500, 0.500) [2 per cell]
Bi (0.161, 0.000, 0.832) [4 per cell]
Te (0.000, 0.500, 0.000) [2 per cell]
As (0.168, 0.000, 0.335) [4 per cell]

The density is 9.53 Mg/m³. For the density of states at the Fermi level, the calculation gives 0.200 states/eV per atom. For the energy relative to the elements, uncorrected, the calculation gives -1.0907 eV/atom.

# Ce2Co4Si3

A relaxed structure of Ce2Co4Si3 (PBE-GGA, Alexandria via LeMat-Bulk).

Cell: 5.388 14.652 6.646 Å, 90.00 90.00 90.00°
Space group Cmce (No. 64)
Asymmetric unit:
Ce (0.000, 0.105, 0.078) [8 per cell]
Co (0.000, 0.176, 0.485) [8 per cell]
Co (0.250, 0.075, 0.750) [8 per cell]
Si (0.000, 0.000, 0.500) [4 per cell]
Si (0.250, 0.235, 0.750) [8 per cell]

The density is 7.60 Mg/m³. For the density of states at the Fermi level, the calculation gives 0.917 states/eV per atom. For the energy relative to the elements, uncorrected, the calculation gives -0.6265 eV/atom.

# Nd2Fe12P7

A relaxed structure of Nd2Fe12P7 (PBE-GGA, Alexandria via LeMat-Bulk).

Cell: 9.0397 9.0397 3.6818 Å, 90.00 90.00 120.00°
Space group P-6 (No. 174)
Asymmetric unit:
Nd (0.0000, 0.0000, 0.0000) [1 per cell]
Nd (0.3333, 0.6667, 0.5000) [1 per cell]
Fe (0.0361, 0.7578, 0.5000) [3 per cell]
Fe (0.0971, 0.3812, 0.0000) [3 per cell]
Fe (0.4532, 0.2371, 0.0000) [3 per cell]
Fe (0.5138, 0.0609, 0.5000) [3 per cell]
P (0.0631, 0.6227, 0.0000) [3 per cell]
P (0.2595, 0.0341, 0.5000) [3 per cell]
P (0.6667, 0.3333, 0.5000) [1 per cell]

Its formation energy from the elements is -0.658 eV per atom. The density is 7.49 Mg/m³. For the density of states at the Fermi level, the calculation gives 0.989 states/eV per atom.

# LaSnN2

A relaxed structure of LaSnN2 (PBE-GGA, Alexandria via LeMat-Bulk).

Cell: 5.361 5.361 10.914 Å, 90.00 90.00 90.00°
Space group I-42d (No. 122)
Asymmetric unit:
La (0.000, 0.000, 0.000) [4 per cell]
Sn (0.000, 0.000, 0.500) [4 per cell]
N (0.218, 0.250, 0.625) [8 per cell]

The density is 6.05 Mg/m³. For the density of states at the Fermi level, the calculation gives 0.363 states/eV per atom. For the energy relative to the elements, uncorrected, the calculation gives -0.3536 eV/atom. For the energy relative to the lowest polymorph listed for this composition, the calculation gives 0.0 meV/atom.

# Zr3NbC

A relaxed structure of Zr3NbC (PBE-GGA, Alexandria via LeMat-Bulk).

Cell: 4.571 4.571 4.571 Å, 90.00 90.00 90.00°
Space group Pm-3m (No. 221)
Asymmetric unit:
Zr (0.000, 0.000, 0.500) [3 per cell]
Nb (0.500, 0.500, 0.500) [1 per cell]
C (0.000, 0.000, 0.000) [1 per cell]

Its formation energy from the elements is -0.168 eV per atom. The density is 6.58 Mg/m³. For the density of states at the Fermi level, the calculation gives 1.058 states/eV per atom. For the energy relative to the lowest polymorph listed for this composition, the calculation gives 0.0 meV/atom.

Number 1: volume 357.43 Å³/cell, size of the total moment 4.20 μB/cell. Number 2: volume 422.34 Å³/cell, size of the total moment 0.00 μB/cell. Number 3: volume 133.93 Å³/cell, size of the total moment 0.00 μB/cell. Number 4: volume 668.49 Å³/cell, size of the total moment 0.00 μB/cell. Number 5: volume 524.61 Å³/cell, size of the total moment 0.00 μB/cell. Number 6: volume 260.56 Å³/cell, size of the total moment 1.08 μB/cell. Number 7: volume 313.66 Å³/cell, size of the total moment 0.00 μB/cell. Number 8: volume 95.53 Å³/cell, size of the total moment 0.00 μB/cell.